Record 1
An optimized crystal structure of NaLiAg2Te2. Source: OQMD via LeMat-Bulk, functional PBE.

Summary:
Crystal system: monoclinic
Calculated volume (Å³/f.u.): 148.0
Uncorrected energy (eV per formula unit): -18.324
Space-group type: Pm, No. 6
Theoretical density (Mg/m³): 5.6

CIF file:
```
data_NaLiAg2Te2
_chemical_formula_sum 'Na4 Li4 Ag8 Te8'
_cell_length_a 9.430
_cell_length_b 4.715
_cell_length_c 14.115
_cell_angle_alpha 90.00
_cell_angle_beta 109.44
_cell_angle_gamma 90.00
_symmetry_space_group_name_H-M 'P 1'
_symmetry_Int_Tables_number 1
loop_
_symmetry_equiv_pos_as_xyz
'x,y,z'
loop_
_atom_site_label
_atom_site_type_symbol
_atom_site_fract_x
_atom_site_fract_y
_atom_site_fract_z
_atom_site_occupancy
Na1 Na 0.000 0.000 0.000 1
Na2 Na 0.123 0.500 0.742 1
Na3 Na 0.250 0.000 0.495 1
Na4 Na 0.507 0.000 0.997 1
Li1 Li 0.377 0.500 0.247 1
Li2 Li 0.639 0.500 0.749 1
Li3 Li 0.753 0.000 0.496 1
Li4 Li 0.881 0.500 0.252 1
Ag1 Ag 0.068 0.500 0.132 1
Ag2 Ag 0.189 0.000 0.873 1
Ag3 Ag 0.334 0.500 0.626 1
Ag4 Ag 0.445 0.000 0.367 1
Ag5 Ag 0.572 0.500 0.129 1
Ag6 Ag 0.688 0.000 0.863 1
Ag7 Ag 0.803 0.500 0.613 1
Ag8 Ag 0.931 0.000 0.370 1
Te1 Te 0.128 0.000 0.250 1
Te2 Te 0.254 0.500 0.002 1
Te3 Te 0.379 0.000 0.746 1
Te4 Te 0.501 0.500 0.490 1
Te5 Te 0.629 0.000 0.247 1
Te6 Te 0.754 0.500 0.996 1
Te7 Te 0.872 0.000 0.740 1
Te8 Te 0.999 0.500 0.494 1
```

---

Record 2
An optimized crystal structure of PrCo8P5. Source: OQMD via LeMat-Bulk, functional PBE.

Summary:
Crystal system: orthorhombic
Calculated volume (Å³/f.u.): 170.8
Uncorrected energy (eV per formula unit): -98.627
Space-group type: Pmmn, No. 59
Theoretical density (Mg/m³): 7.5

CIF file:
```
data_PrCo8P5
_chemical_formula_sum 'Pr2 Co16 P10'
_cell_length_a 3.547
_cell_length_b 10.424
_cell_length_c 9.241
_cell_angle_alpha 90.00
_cell_angle_beta 90.00
_cell_angle_gamma 90.00
_symmetry_space_group_name_H-M 'P 1'
_symmetry_Int_Tables_number 1
loop_
_symmetry_equiv_pos_as_xyz
'x,y,z'
loop_
_atom_site_label
_atom_site_type_symbol
_atom_site_fract_x
_atom_site_fract_y
_atom_site_fract_z
_atom_site_occupancy
Pr1 Pr 0.250 0.250 0.177 1
Pr2 Pr 0.750 0.750 0.823 1
Co1 Co 0.250 0.004 0.889 1
Co2 Co 0.250 0.083 0.479 1
Co3 Co 0.250 0.250 0.849 1
Co4 Co 0.250 0.417 0.479 1
Co5 Co 0.250 0.496 0.889 1
Co6 Co 0.250 0.608 0.303 1
Co7 Co 0.250 0.750 0.546 1
Co8 Co 0.250 0.892 0.303 1
Co9 Co 0.750 0.108 0.697 1
Co10 Co 0.750 0.250 0.454 1
Co11 Co 0.750 0.392 0.697 1
Co12 Co 0.750 0.504 0.111 1
Co13 Co 0.750 0.583 0.521 1
Co14 Co 0.750 0.750 0.151 1
Co15 Co 0.750 0.917 0.521 1
Co16 Co 0.750 0.996 0.111 1
P1 P 0.250 0.250 0.615 1
P2 P 0.250 0.557 0.661 1
P3 P 0.250 0.631 0.067 1
P4 P 0.250 0.869 0.067 1
P5 P 0.250 0.943 0.661 1
P6 P 0.750 0.057 0.339 1
P7 P 0.750 0.131 0.933 1
P8 P 0.750 0.369 0.933 1
P9 P 0.750 0.443 0.339 1
P10 P 0.750 0.750 0.385 1
```

---

Record 3
An optimized crystal structure of KHoTl. Source: OQMD via LeMat-Bulk, functional PBE.

Summary:
ΔE to the lowest computed polymorph (kJ/mol of formula units): 0.0
Crystal system: cubic
Calculated volume (Å³/f.u.): 116.0
Uncorrected energy (eV per formula unit): -7.008
Space-group type: F-43m, No. 216
Theoretical density (Mg/m³): 5.8

CIF file:
```
data_KHoTl
_chemical_formula_sum 'K1 Ho1 Tl1'
_cell_length_a 5.474
_cell_length_b 5.474
_cell_length_c 5.474
_cell_angle_alpha 60.00
_cell_angle_beta 60.00
_cell_angle_gamma 60.00
_symmetry_space_group_name_H-M 'P 1'
_symmetry_Int_Tables_number 1
loop_
_symmetry_equiv_pos_as_xyz
'x,y,z'
loop_
_atom_site_label
_atom_site_type_symbol
_atom_site_fract_x
_atom_site_fract_y
_atom_site_fract_z
_atom_site_occupancy
K1 K 0.000 0.000 0.000 1
Ho1 Ho 0.500 0.500 0.500 1
Tl1 Tl 0.750 0.750 0.750 1
```

---

Record 4
An optimized crystal structure of SmTeO3. Source: OQMD via LeMat-Bulk, functional PBE.

Summary:
Crystal system: orthorhombic
Calculated volume (Å³/f.u.): 75.2
Uncorrected energy (eV per formula unit): -31.965
Space-group type: Imma, No. 74
Theoretical density (Mg/m³): 7.2

CIF file:
```
data_SmTeO3
_chemical_formula_sum 'Sm2 Te2 O6'
_cell_length_a 6.340
_cell_length_b 6.340
_cell_length_c 6.340
_cell_angle_alpha 127.35
_cell_angle_beta 75.33
_cell_angle_gamma 130.29
_symmetry_space_group_name_H-M 'P 1'
_symmetry_Int_Tables_number 1
loop_
_symmetry_equiv_pos_as_xyz
'x,y,z'
loop_
_atom_site_label
_atom_site_type_symbol
_atom_site_fract_x
_atom_site_fract_y
_atom_site_fract_z
_atom_site_occupancy
Sm1 Sm 0.277 0.027 0.250 1
Sm2 Sm 0.723 0.973 0.750 1
Te1 Te 0.000 0.500 0.500 1
Te2 Te 0.500 0.500 0.000 1
O1 O 0.138 0.388 0.750 1
O2 O 0.350 0.000 0.850 1
O3 O 0.350 0.500 0.350 1
O4 O 0.650 0.000 0.150 1
O5 O 0.650 0.500 0.650 1
O6 O 0.862 0.612 0.250 1
```